Entry 1:
Computed, not measured: a relaxed structure of Ac6CoPtRh2 at the PBE-GGA level of DFT.

a = 7.4390 Å, b = 7.4393 Å, c = 8.1282 Å
α = 62.73°, β = 62.74°, γ = 60.01°
Closest atoms and distances in Å follow each position.
Fractional coordinates of all 10 atoms:
Ac 0.5784 0.2510 0.2464  1 Co 2.97, 2 Rh 3.01-3.04, 1 Pt 3.07
Ac 0.2514 0.9240 0.2462  1 Co 2.97, 2 Rh 3.01-3.04, 1 Pt 3.07
Ac 0.9242 0.5779 0.2468  1 Co 2.97, 2 Rh 3.01-3.04, 1 Pt 3.07
Ac 0.4110 0.7392 0.7567  1 Co 2.93, 2 Rh 3.00-3.03, 1 Pt 3.08
Ac 0.7387 0.0930 0.7570  1 Co 2.93, 2 Rh 3.00-3.03, 1 Pt 3.08
Ac 0.0926 0.4113 0.7575  1 Co 2.93, 2 Rh 3.00-3.03, 1 Pt 3.08
Co 0.3336 0.3338 0.9992  6 Ac 2.93-2.97
Pt 0.8323 0.8321 0.5037  6 Ac 3.07-3.08
Rh 0.5008 0.5011 0.4969  6 Ac 3.00-3.04
Rh 0.9986 0.9982 0.0047  6 Ac 3.01-3.03

Values from the calculation:
**Fermi-level density of states**: 5.31 states/eV/cell
**Formation enthalpy at 0 K**: -5.4 eV per formula unit
**V**: 33.06 Å³/atom
**Total energy**: -5.79 eV/atom

Entry 2:
Computed, not measured: a relaxed structure of Ac2CoSi3Pt12 at the PBE-GGA level of DFT.

a = 7.8889 Å, b = 7.8889 Å, c = 7.8889 Å
α = 62.58°, β = 62.58°, γ = 62.58°
Closest atoms and distances in Å follow each position.
Fractional coordinates of all 18 atoms:
Ac 0.6210 0.6210 0.6210  6 Pt 2.99-3.04
Ac 0.3790 0.3790 0.3790  6 Pt 2.99-3.04
Co 0.0000 0.0000 0.0000  6 Pt 2.42
Si 0.5000 0.0000 0.0000  6 Pt 2.32-2.36
Si 0.0000 0.5000 0.0000  6 Pt 2.32-2.36
Si 0.0000 0.0000 0.5000  6 Pt 2.32-2.36
Pt 0.3538 0.3538 0.8963  2 Si 2.36
Pt 0.8839 0.8839 0.3649  1 Si 2.32, 1 Co 2.42
Pt 0.3649 0.8839 0.8839  1 Si 2.32, 1 Co 2.42
Pt 0.8963 0.3538 0.3538  2 Si 2.36
Pt 0.8839 0.3649 0.8839  1 Si 2.32, 1 Co 2.42
Pt 0.3538 0.8963 0.3538  2 Si 2.36
Pt 0.6462 0.6462 0.1037  2 Si 2.36
Pt 0.1161 0.1161 0.6351  1 Si 2.32, 1 Co 2.42
Pt 0.6351 0.1161 0.1161  1 Si 2.32, 1 Co 2.42
Pt 0.1037 0.6462 0.6462  2 Si 2.36
Pt 0.1161 0.6351 0.1161  1 Si 2.32, 1 Co 2.42
Pt 0.6462 0.1037 0.6462  2 Si 2.36

Values from the calculation:
**Fermi-level density of states**: 10.52 states/eV/cell
**ΔE_f (raw)**: -0.471 eV per atom
**V**: 20.39 Å³/atom
**Total energy**: -6.25 eV/atom

Entry 3:
Computed, not measured: a relaxed structure of AcSmCoPt at the PBE-GGA level of DFT.

a = 5.1043 Å, b = 5.1043 Å, c = 5.1043 Å
α = 60.00°, β = 60.00°, γ = 60.00°
Closest atoms and distances in Å follow each position.
Fractional coordinates of all 4 atoms:
Ac 0.0000 0.0000 0.0000  4 Co 3.13, 4 Pt 3.13
Co 0.2500 0.2500 0.2500  4 Ac 3.13, 4 Sm 3.13
Sm 0.5000 0.5000 0.5000  4 Pt 3.13, 4 Co 3.13
Pt 0.7500 0.7500 0.7500  4 Ac 3.13, 4 Sm 3.13

Values from the calculation:
**Fermi-level density of states**: 2.11 states/eV/cell
**Formation enthalpy at 0 K**: -1.7 eV per formula unit
**V**: 23.51 Å³/atom
**Total energy**: -5.92 eV/atom

Entry 4:
Computed, not measured: a relaxed structure of AcTbCoPt at the PBE-GGA level of DFT.

a = 5.0682 Å, b = 5.0682 Å, c = 5.0682 Å
α = 60.00°, β = 60.00°, γ = 60.00°
Closest atoms and distances in Å follow each position.
Fractional coordinates of all 4 atoms:
Co 0.2500 0.2500 0.2500  4 Ac 3.10, 4 Tb 3.10
Ac 0.0000 0.0000 0.0000  4 Pt 3.10, 4 Co 3.10
Tb 0.5000 0.5000 0.5000  4 Co 3.10, 4 Pt 3.10
Pt 0.7500 0.7500 0.7500  4 Tb 3.10, 4 Ac 3.10

Values from the calculation:
**Fermi-level density of states**: 2.22 states/eV/cell
**Formation enthalpy at 0 K**: -1.8 eV per formula unit
**V**: 23.01 Å³/atom
**Total energy**: -5.92 eV/atom